Material: Pm4RhSBr2
Method: DFT, PBE
State: optimized geometry

Geometry as POSCAR:
```
Pm4RhSBr2
1.0
7.341 0.000 0.000
0.000 3.997 0.000
-2.296 0.000 7.437
Pm Rh S Br
4 1 1 2
Direct
0.220 0.000 0.201
0.270 0.500 0.797
0.730 0.500 0.203
0.780 0.000 0.799
0.000 0.500 0.000
0.500 0.000 0.000
0.000 0.000 0.500
0.500 0.500 0.500
```

formation energy from raw total energies = -1297 meV per atom
DOS(E_F) = 0.60 states/eV per atom
total energy = -44.21 eV for the cell shown

---

Material: Pm4RhSe2Br
Method: DFT, PBE
State: optimized geometry

Geometry as POSCAR:
```
Pm4RhSe2Br
1.0
7.399 0.000 0.000
0.000 4.089 0.000
-2.333 0.000 7.027
Pm Rh Se Br
4 1 2 1
Direct
0.232 0.000 0.223
0.260 0.500 0.770
0.740 0.500 0.230
0.768 0.000 0.777
0.000 0.500 0.000
0.500 0.000 0.000
0.500 0.500 0.500
0.000 0.000 0.500
```

formation energy from raw total energies = -1369 meV per atom
DOS(E_F) = 0.67 states/eV per atom
total energy = -45.94 eV for the cell shown

---

Material: Pm8Si3RhBr4
Method: DFT, PBE
State: optimized geometry

Geometry as POSCAR:
```
Pm8Si3RhBr4
1.0
4.235 2.445 7.293
-4.235 2.445 7.293
0.000 -4.890 7.293
Pm Si Rh Br
8 3 1 4
Direct
0.238 0.238 0.238
0.242 0.732 0.732
0.268 0.268 0.758
0.268 0.758 0.268
0.732 0.242 0.732
0.732 0.732 0.242
0.758 0.268 0.268
0.762 0.762 0.762
0.000 0.000 0.500
0.000 0.500 0.000
0.500 0.000 0.000
0.500 0.500 0.500
0.000 0.000 0.000
0.000 0.500 0.500
0.500 0.000 0.500
0.500 0.500 0.000
```

formation energy from raw total energies = -1038 meV per atom
DOS(E_F) = 0.62 states/eV per atom
total energy = -84.93 eV for the cell shown

---

Repeat the first record exactly.
Material: Pm4RhSBr2
Method: DFT, PBE
State: optimized geometry

Geometry as POSCAR:
```
Pm4RhSBr2
1.0
7.341 0.000 0.000
0.000 3.997 0.000
-2.296 0.000 7.437
Pm Rh S Br
4 1 1 2
Direct
0.220 0.000 0.201
0.270 0.500 0.797
0.730 0.500 0.203
0.780 0.000 0.799
0.000 0.500 0.000
0.500 0.000 0.000
0.000 0.000 0.500
0.500 0.500 0.500
```

formation energy from raw total energies = -1297 meV per atom
DOS(E_F) = 0.60 states/eV per atom
total energy = -44.21 eV for the cell shown